# 1
## Cs2NiSb2 (PBE)

Data for a geometry-optimized Cs2NiSb2 structure.

abc: 7.0232 7.0232 6.5276
angles: 90.00 90.00 90.00
Fractional positions:
Cs 0.1748 0.3252 0.0000
Cs 0.3252 0.8252 0.0000
Cs 0.6748 0.1748 0.0000
Cs 0.8252 0.6748 0.0000
Ni 0.0000 0.0000 0.5000
Ni 0.5000 0.5000 0.5000
Sb 0.1514 0.6514 0.5000
Sb 0.3486 0.1514 0.5000
Sb 0.6514 0.8486 0.5000
Sb 0.8486 0.3486 0.5000

Formation energy without anion corrections (eV per atom): -0.09
Calculated total energy (eV per atom): -3.241
V (Å³/cell): 322

---

# 2
## CsNi3Sb (PBE)

Data for a geometry-optimized CsNi3Sb structure.

abc: 4.9478 4.9478 4.9478
angles: 90.00 90.00 90.00
Fractional positions:
Cs 0.0000 0.0000 0.0000
Ni 0.0000 0.5000 0.5000
Ni 0.5000 0.0000 0.5000
Ni 0.5000 0.5000 0.0000
Sb 0.5000 0.5000 0.5000

Formation energy without anion corrections (eV per atom): 0.61
Calculated total energy (eV per atom): -3.852
V (Å³/cell): 121

---

# 3
## CsNi2Sb (PBE)

Data for a geometry-optimized CsNi2Sb structure.

abc: 6.9354 6.9354 6.9354
angles: 113.23 113.23 102.18
Fractional positions:
Cs 0.0000 0.0000 0.0000
Cs 0.7500 0.2500 0.5000
Ni 0.2479 0.6250 0.1229
Ni 0.3750 0.4979 0.6229
Ni 0.5021 0.1250 0.8771
Ni 0.8750 0.7521 0.3771
Sb 0.2500 0.7500 0.5000
Sb 0.5000 0.5000 0.0000

Formation energy without anion corrections (eV per atom): 0.46
Calculated total energy (eV per atom): -3.675
V (Å³/cell): 254

---

# 4
## CsNi3Sb (PBE)

Data for a geometry-optimized CsNi3Sb structure.

abc: 4.8303 4.8303 4.8303
angles: 90.00 90.00 90.00
Fractional positions:
Cs 0.0000 0.0000 0.0000
Ni 0.0000 0.0000 0.5000
Ni 0.0000 0.5000 0.0000
Ni 0.5000 0.0000 0.0000
Sb 0.5000 0.5000 0.5000

Formation energy without anion corrections (eV per atom): 1.83
Calculated total energy (eV per atom): -2.638
V (Å³/cell): 113